No. 1
# LiH4SNO4

An optimized crystal structure of LiH4SNO4 (GGA-PBEsol, Alexandria).

## Properties
Magnetic moment: 0.0001 μB/atom
Total energy: -5.704 eV per atom
Polymorph energy (0 for the lowest one): 0.056 eV per formula unit
DOS at the Fermi energy: 0.00 states/eV per cell

Geometry as extended XYZ:
```
44
Lattice="-1.814 -2.521 4.136 -2.628 -6.629 -5.194 8.171 -4.094 1.089" Properties=species:S:1:pos:R:3 pbc="T T T"
H -0.839 -5.761 0.099
H 3.856 -5.835 -0.492
H 3.933 -7.517 -0.118
H 1.313 -2.866 2.808
H 6.382 -4.520 1.136
H -0.350 -3.065 2.585
H -0.834 -6.600 1.583
H 2.905 -9.697 -3.892
H 0.567 -5.807 1.034
H -2.293 -9.842 -1.033
H 5.057 -6.803 -1.184
H 0.009 -7.219 0.211
H -2.359 -8.314 -1.778
H 3.456 -7.027 -1.676
H 4.216 -9.988 -2.866
H 5.393 -4.275 2.498
Li 2.978 -5.512 2.906
Li 0.690 -7.816 -2.737
Li 4.263 -10.128 0.656
Li -0.595 -3.199 -0.486
O 2.731 -9.340 -0.178
O -1.032 -4.702 -1.587
O 5.632 -9.115 -2.377
O -2.526 -6.607 -1.638
O 1.049 -10.777 -1.143
O 0.612 -8.398 -0.909
O -0.630 -6.495 -3.153
O 7.014 -5.582 -0.062
O 4.658 -6.333 2.501
O 2.615 -2.556 1.321
O -1.394 -3.420 1.246
O 3.626 -4.137 -0.223
O 2.505 -7.296 -3.085
O 4.696 -8.631 1.765
O 1.297 -3.487 -0.474
O 1.982 -4.893 1.385
S 1.283 -9.580 -0.300
S 5.329 -7.635 2.662
S -1.672 -5.708 -2.469
S 2.375 -3.762 0.492
N 3.403 -10.438 -3.362
N 4.073 -6.801 -0.851
N 0.387 -2.721 3.254
N -0.284 -6.358 0.742
```



No. 2
# Nb2HgPtSe

An optimized crystal structure of Nb2HgPtSe (GGA-PBEsol, Alexandria).

## Properties
Magnetic moment: 0.1002 μB/atom
Formation energy from raw total energies: 1.747 eV/atom
Total energy: -4.857 eV per atom
DOS at the Fermi energy: 5.59 states/eV per cell

Geometry as extended XYZ:
```
5
Lattice="-0.297 -4.705 1.136 3.680 0.586 3.388 -3.424 1.070 3.534" Properties=species:S:1:pos:R:3 pbc="T T T"
Nb 1.840 0.293 1.694
Nb -1.712 0.535 1.767
Hg 0.000 0.000 0.000
Pt -0.148 -2.353 0.568
Se -0.021 -1.525 4.029
```



No. 3
# LaRhPb2

An optimized crystal structure of LaRhPb2 (GGA-PBEsol, Alexandria).

## Properties
Magnetic moment: 0.0000 μB/atom
Total energy: -5.805 eV per atom
DOS at the Fermi energy: 1.37 states/eV per cell
ΔH_f (0 K): -434 meV/atom

Geometry as extended XYZ:
```
4
Lattice="4.589 0.000 0.000 0.000 4.986 0.014 0.000 -1.985 4.574" Properties=species:S:1:pos:R:3 pbc="T T T"
La 2.294 0.000 0.000
Pb 0.000 2.774 1.461
Pb 0.000 0.227 3.127
Rh 2.294 1.500 2.294
```



No. 4
# AsPAuBr2

An optimized crystal structure of AsPAuBr2 (GGA-PBEsol, Alexandria).

## Properties
Magnetic moment: 0.0002 μB/atom
Formation energy from raw total energies: 0.652 eV/atom
Total energy: -3.060 eV per atom
DOS at the Fermi energy: 3.38 states/eV per cell

Geometry as extended XYZ:
```
5
Lattice="4.773 0.000 0.000 0.000 4.773 0.000 0.000 0.000 5.103" Properties=species:S:1:pos:R:3 pbc="T T T"
P 0.000 0.000 0.000
Au 2.386 2.386 2.552
As 0.000 0.000 2.552
Br 2.386 0.000 0.000
Br 0.000 2.386 0.000
```



No. 5
# Tl2TcSe

An optimized crystal structure of Tl2TcSe (GGA-PBEsol, Alexandria).

## Properties
Magnetic moment: 0.3385 μB/atom
Formation energy from raw total energies: 0.686 eV/atom
Total energy: -4.408 eV per atom
Polymorph energy (0 for the lowest one): 0.000 eV per formula unit
DOS at the Fermi energy: 3.42 states/eV per cell

Geometry as extended XYZ:
```
4
Lattice="-0.449 -0.814 4.178 -3.281 -2.609 -0.861 4.691 -1.721 -2.023" Properties=species:S:1:pos:R:3 pbc="T T T"
Tl 0.000 0.000 0.000
Tl 1.188 -2.123 1.906
Se -1.865 -1.711 1.658
Tc -0.228 -3.021 -0.613
```



No. 6
# Cd3NiIr

An optimized crystal structure of Cd3NiIr (GGA-PBEsol, Alexandria).

## Properties
Magnetic moment: 0.1402 μB/atom
Total energy: -2.832 eV per atom
DOS at the Fermi energy: 10.45 states/eV per cell
ΔH_f (0 K): 1083 meV/atom

Geometry as extended XYZ:
```
5
Lattice="-4.331 2.186 1.373 -0.069 -2.779 4.207 2.581 3.594 2.417" Properties=species:S:1:pos:R:3 pbc="T T T"
Ir 0.000 0.000 0.000
Cd 1.291 1.797 1.208
Cd -2.165 1.093 0.687
Cd -0.034 -1.389 2.103
Ni -0.909 1.501 3.998
```



No. 7
# K2CrIF

An optimized crystal structure of K2CrIF (GGA-PBEsol, Alexandria).

## Properties
Magnetic moment: 1.0041 μB/atom
Formation energy from raw total energies: -0.317 eV/atom
Total energy: -3.558 eV per atom
DOS at the Fermi energy: 1.21 states/eV per cell

Geometry as extended XYZ:
```
5
Lattice="-4.006 -1.663 3.244 4.443 -2.241 4.338 0.011 5.870 3.022" Properties=species:S:1:pos:R:3 pbc="T T T"
Cr -2.003 -0.831 1.622
I 0.000 0.000 0.000
K 2.221 -1.121 2.169
K 0.005 2.935 1.511
F 0.224 0.983 5.302
```



No. 8
# ZrAg2Au

An optimized crystal structure of ZrAg2Au (GGA-PBEsol, Alexandria).

## Properties
Magnetic moment: 0.0000 μB/atom
Total energy: -5.113 eV per atom
Polymorph energy (0 for the lowest one): 0.170 eV per formula unit
DOS at the Fermi energy: 2.38 states/eV per cell
ΔH_f (0 K): -203 meV/atom

Geometry as extended XYZ:
```
4
Lattice="3.031 0.000 0.000 0.000 3.745 0.000 0.000 0.000 6.306" Properties=species:S:1:pos:R:3 pbc="T T T"
Au 0.000 0.000 3.111
Ag 1.516 1.873 1.555
Ag 0.000 0.000 0.115
Zr 1.516 1.873 4.677
```



No. 9
# SrAg2Os

An optimized crystal structure of SrAg2Os (GGA-PBEsol, Alexandria).

## Properties
Magnetic moment: 0.0010 μB/atom
Total energy: -4.479 eV per atom
Polymorph energy (0 for the lowest one): 0.274 eV per formula unit
DOS at the Fermi energy: 4.90 states/eV per cell
ΔH_f (0 K): 691 meV/atom

Geometry as extended XYZ:
```
4
Lattice="3.439 0.000 0.000 0.000 3.439 0.000 0.000 0.000 6.757" Properties=species:S:1:pos:R:3 pbc="T T T"
Sr 1.719 1.719 3.378
Ag 0.000 0.000 1.322
Ag 0.000 0.000 5.434
Os 1.719 1.719 0.000
```



No. 10
# ZnSn2PC

An optimized crystal structure of ZnSn2PC (GGA-PBEsol, Alexandria).

## Properties
Magnetic moment: 0.0001 μB/atom
Total energy: -4.004 eV per atom
DOS at the Fermi energy: 2.83 states/eV per cell
ΔH_f (0 K): 1103 meV/atom

Geometry as extended XYZ:
```
5
Lattice="3.556 0.000 0.000 0.000 5.323 0.000 0.000 0.000 5.323" Properties=species:S:1:pos:R:3 pbc="T T T"
Sn 0.000 0.000 2.662
Sn 0.000 2.662 0.000
C 1.778 0.000 0.000
Zn 0.000 0.000 0.000
P 1.778 2.662 2.662
```



No. 11
# Hg3W

An optimized crystal structure of Hg3W (GGA-PBEsol, Alexandria).

## Properties
Magnetic moment: 0.0000 μB/atom
Total energy: -3.163 eV per atom
Polymorph energy (0 for the lowest one): 0.582 eV per formula unit
DOS at the Fermi energy: 2.30 states/eV per cell
ΔH_f (0 K): 714 meV/atom

Geometry as extended XYZ:
```
4
Lattice="-2.425 -1.532 0.438 -0.163 -1.130 -4.850 3.040 -4.300 0.900" Properties=species:S:1:pos:R:3 pbc="T T T"
W 1.439 -2.715 -1.975
Hg 0.459 -4.293 0.985
Hg 0.156 -1.538 0.353
Hg -1.294 -1.331 -2.206
```



No. 12
# Sr2TlCl

An optimized crystal structure of Sr2TlCl (GGA-PBEsol, Alexandria).

## Properties
Magnetic moment: 0.0000 μB/atom
Formation energy from raw total energies: -1.021 eV/atom
Total energy: -3.100 eV per atom
Polymorph energy (0 for the lowest one): 0.342 eV per formula unit
DOS at the Fermi energy: 1.15 states/eV per cell

Geometry as extended XYZ:
```
4
Lattice="-2.652 2.010 1.695 -1.038 -3.012 1.948 5.556 2.098 6.203" Properties=species:S:1:pos:R:3 pbc="T T T"
Tl -1.845 -0.501 1.822
Sr 1.370 0.517 1.529
Sr 4.186 1.581 4.674
Cl 0.933 0.548 4.923
```